A relaxed structure of HoScSb2O8. Source: the Alexandria database, functional GGA-PBE.

a = 5.1507 Å, b = 5.1507 Å, c = 10.9607 Å
α = 90.00°, β = 90.00°, γ = 90.00°
Space group I-4 (No. 82)
Unique sites:
Ho 0.0000 0.0000 0.0000 x2
Sc 0.0000 0.5000 0.7500 x2
Sb 0.0000 0.0000 0.5000 x2
Sb 0.0000 0.5000 0.2500 x2
O 0.1883 0.2560 0.5931 x8
O 0.1990 0.7582 0.1621 x8

## Properties
raw total energy	-7.180	eV/atom
crystal system	tetragonal
total magnetization	0.00	μB/f.u.